# 1
Entry from the Alexandria database: crystalline Ta2CoHg2Te6 at its relaxed geometry (PBE).

extended XYZ file:
```
11
Lattice="3.233 -5.472 0.000 3.233 5.472 0.000 -2.975 0.000 9.807" Properties=species:S:1:pos:R:3 pbc="T T T"
Ta 3.233 3.428 0.000
Ta 3.233 -3.428 0.000
Co 3.233 0.000 0.000
Hg 1.746 1.980 4.904
Hg 1.746 -1.980 4.904
Te -0.832 1.657 8.018
Te 1.154 0.000 1.578
Te -0.832 -1.657 8.018
Te 4.324 1.657 1.789
Te 2.338 0.000 8.230
Te 4.324 -1.657 1.789
```

Calculated values
crystal system	monoclinic
uncorrected formation energy	-0.153	eV per atom
V	31.55	A^3/atom

***

# 2
Entry from the Alexandria database: crystalline ReTc2Hg at its relaxed geometry (PBE).

extended XYZ file:
```
4
Lattice="-1.957 1.957 4.135 1.957 -1.957 4.135 1.957 1.957 -4.135" Properties=species:S:1:pos:R:3 pbc="T T T"
Re 0.000 0.000 0.000
Tc 1.957 0.000 2.067
Tc 0.000 0.000 4.135
Hg 0.000 1.957 2.067
```

Calculated values
crystal system	tetragonal
energy relative to the elements	2.46	eV/f.u.
V	15.84	A^3/atom

***

# 3
Entry from the Alexandria database: crystalline SrInCl4 at its relaxed geometry (PBE).

extended XYZ file:
```
6
Lattice="0.000 4.347 4.347 4.347 0.000 4.347 4.347 4.347 0.000" Properties=species:S:1:pos:R:3 pbc="T T T"
Sr 0.000 0.000 0.000
In 2.174 2.174 2.174
Cl 5.436 3.258 3.258
Cl 3.258 5.436 3.258
Cl 3.258 3.258 5.436
Cl 5.436 5.436 5.436
```

Calculated values
crystal system	cubic
uncorrected formation energy	-0.702	eV per atom
relative energy among the computed polymorphs	929	meV per atom
V	27.39	A^3/atom

***

# 4
Entry from the Alexandria database: crystalline La3CePb5 at its relaxed geometry (PBE).

extended XYZ file:
```
18
Lattice="9.934 0.000 0.000 -4.967 8.603 0.000 0.000 0.000 6.670" Properties=species:S:1:pos:R:3 pbc="T T T"
La -1.884 3.263 1.667
La -3.083 5.340 5.002
La 3.768 0.000 1.667
La 1.884 3.263 5.002
La 6.166 0.000 5.002
La 3.083 5.340 1.667
Ce 0.000 0.000 0.000
Ce 0.000 0.000 3.335
Pb -1.426 2.470 5.002
Pb -3.541 6.133 1.667
Pb 2.852 0.000 5.002
Pb 1.426 2.470 1.667
Pb 0.000 5.735 0.000
Pb 0.000 5.735 3.335
Pb 4.967 2.868 0.000
Pb 4.967 2.868 3.335
Pb 7.082 0.000 1.667
Pb 3.541 6.133 5.002
```

Calculated values
crystal system	hexagonal
energy relative to the elements	-4.57	eV/f.u.
V	31.67	A^3/atom

***

# 5
Entry from the Alexandria database: crystalline Dy8AgPt2 at its relaxed geometry (PBE).

extended XYZ file:
```
11
Lattice="4.264 -6.635 0.000 4.264 6.635 0.000 -1.504 0.000 5.385" Properties=species:S:1:pos:R:3 pbc="T T T"
Dy 0.000 0.000 0.000
Dy 0.587 1.668 3.237
Dy 2.957 3.156 1.018
Dy 0.587 -1.668 3.237
Dy 3.823 1.669 4.185
Dy 2.957 -3.156 1.018
Dy 3.823 -1.669 4.185
Dy 5.916 0.000 2.036
Ag 2.964 0.000 0.999
Pt 2.206 4.024 3.711
Pt 2.206 -4.024 3.711
```

Calculated values
crystal system	monoclinic
energy relative to the elements	-4.85	eV/f.u.
V	27.70	A^3/atom

***

# 6
Entry from the Alexandria database: crystalline Na2Ni3As4Rh at its relaxed geometry (PBE).

extended XYZ file:
```
10
Lattice="4.137 0.000 0.000 0.000 4.137 0.000 0.000 0.000 9.806" Properties=species:S:1:pos:R:3 pbc="T T T"
Na 0.000 2.069 2.456
Na 2.069 0.000 7.351
Ni 0.000 0.000 0.000
Ni 0.000 2.069 6.131
Ni 2.069 0.000 3.676
As 0.000 0.000 4.903
As 0.000 2.069 8.482
As 2.069 0.000 1.325
As 2.069 2.069 4.903
Rh 2.069 2.069 0.000
```

Calculated values
crystal system	tetragonal
energy relative to the elements	-3.62	eV/f.u.
V	16.78	A^3/atom

***

# 7
Entry from the Alexandria database: crystalline AgBPbF6 at its relaxed geometry (PBE).

extended XYZ file:
```
9
Lattice="4.675 0.000 0.000 0.032 5.195 0.000 2.073 2.437 6.186" Properties=species:S:1:pos:R:3 pbc="T T T"
Ag 0.000 0.000 0.000
B 4.550 5.089 6.067
Pb 4.457 2.375 3.007
F 1.963 2.294 3.907
F 1.789 2.738 1.110
F 4.177 3.926 5.363
F 4.266 6.243 5.286
F 4.543 5.422 2.231
F 3.872 2.613 0.157
```

Calculated values
crystal system	triclinic
uncorrected formation energy	-2.302	eV per atom
V	16.69	A^3/atom

***

# 8
Entry from the Alexandria database: crystalline AcZnTeAs at its relaxed geometry (PBE).

extended XYZ file:
```
8
Lattice="2.259 1.304 15.028 -2.259 1.304 15.028 0.000 -2.608 15.028" Properties=species:S:1:pos:R:3 pbc="T T T"
Ac 0.000 0.000 3.729
Ac 0.000 0.000 41.354
Zn 0.000 0.000 14.071
Zn 0.000 0.000 31.012
Te 0.000 0.000 9.476
Te 0.000 0.000 35.607
As 0.000 0.000 16.648
As 0.000 0.000 28.434
```

Calculated values
crystal system	trigonal
uncorrected formation energy	-0.848	eV per atom
V	33.21	A^3/atom